## a
Entry from OQMD: an optimized crystal structure of NaNbHgPd (PBE).

Lattice parameters (Å, degrees): 6.5746 6.5746 6.5746 90.00 90.00 90.00
Closest atoms and distances in Å follow each position.
Space group F-43m (No. 216)
Unique sites:
Na 0.0000 0.0000 0.0000 x4  4 Hg 2.85, 4 Nb 2.85
Nb 0.2500 0.2500 0.2500 x4  4 Na 2.85, 4 Pd 2.85
Hg 0.2500 0.2500 0.7500 x4  4 Na 2.85, 4 Pd 2.85
Pd 0.0000 0.0000 0.5000 x4  4 Hg 2.85, 4 Nb 2.85

Values from the calculation:
calculated density = 9.884 g/cm3



## b
Entry from OQMD: an optimized crystal structure of NaNbHgPd (PBE).

Lattice parameters (Å, degrees): 6.6828 6.6828 6.6828 90.00 90.00 90.00
Closest atoms and distances in Å follow each position.
Space group F-43m (No. 216)
Unique sites:
Na 0.0000 0.0000 0.0000 x4  4 Hg 2.89, 4 Pd 2.89
Nb 0.0000 0.0000 0.5000 x4  4 Hg 2.89, 4 Pd 2.89
Hg 0.2500 0.2500 0.2500 x4  4 Nb 2.89, 4 Na 2.89
Pd 0.2500 0.2500 0.7500 x4  4 Nb 2.89, 4 Na 2.89

Values from the calculation:
calculated density = 9.412 g/cm3



It is a that is the least stable of them.



## a
Entry from OQMD: an optimized crystal structure of NaNbHgPt (PBE).

Lattice parameters (Å, degrees): 6.6640 6.6640 6.6640 90.00 90.00 90.00
Closest atoms and distances in Å follow each position.
Space group F-43m (No. 216)
Unique sites:
Na 0.0000 0.0000 0.0000 x4  4 Hg 2.89, 4 Pt 2.89
Nb 0.0000 0.0000 0.5000 x4  4 Pt 2.89, 4 Hg 2.89
Hg 0.2500 0.2500 0.7500 x4  4 Nb 2.89, 4 Na 2.89
Pt 0.2500 0.2500 0.2500 x4  4 Nb 2.89, 4 Na 2.89

Values from the calculation:
calculated density = 11.482 g/cm3



## b
Entry from OQMD: an optimized crystal structure of NaNbHgPt (PBE).

Lattice parameters (Å, degrees): 6.5681 6.5681 6.5681 90.00 90.00 90.00
Closest atoms and distances in Å follow each position.
Space group F-43m (No. 216)
Unique sites:
Na 0.0000 0.0000 0.0000 x4  4 Hg 2.84, 4 Nb 2.84
Nb 0.2500 0.2500 0.7500 x4  4 Na 2.84, 4 Pt 2.84
Hg 0.2500 0.2500 0.2500 x4  4 Na 2.84, 4 Pt 2.84
Pt 0.0000 0.0000 0.5000 x4  4 Hg 2.84, 4 Nb 2.84

Values from the calculation:
calculated density = 11.992 g/cm3



It is a that is the least stable of them.



## a
Entry from OQMD: an optimized crystal structure of Na2NbHgS4 (PBE).

Lattice parameters (Å, degrees): 9.1535 10.4919 6.4695 90.00 134.95 90.00
Closest atoms and distances in Å follow each position.
Space group C2 (No. 5)
Unique sites:
Na 0.0000 0.0000 0.0000 x2  4 S 2.73
Na 0.0000 0.2493 0.5000 x2  4 S 2.90
Nb 0.0000 0.7497 0.5000 x2  4 S 2.31
Hg 0.0000 0.4991 0.0000 x2  4 S 2.66
S 0.2088 0.6317 0.9269 x4  1 Nb 2.31
S 0.2178 0.8673 0.5087 x4  1 Nb 2.31

Values from the calculation:
calculated density = 3.533 g/cm3



## b
Entry from OQMD: an optimized crystal structure of Na2NbHgS4 (PBE).

Lattice parameters (Å, degrees): 6.2337 6.2337 11.6463 90.00 90.00 90.00
Closest atoms and distances in Å follow each position.
Space group I-4 (No. 82)
Unique sites:
Na 0.0000 0.0000 0.0000 x2  4 S 2.83
Na 0.0000 0.5000 0.2500 x2  4 S 2.77
Nb 0.0000 0.0000 0.5000 x2  4 S 2.31
Hg 0.0000 0.5000 0.7500 x2  4 S 2.71
S 0.2117 0.2197 0.6130 x8  1 Nb 2.31

Values from the calculation:
calculated density = 3.432 g/cm3



It is a that is the least stable of them.